# 1
# TbPaAs

TbPaAs after structural relaxation (PBE, the Open Quantum Materials Database).

Cell lengths 6.752, 6.752, 6.752 Å; angles 90.00, 90.00, 90.00 degrees
Space group F-43m (No. 216)
Unique sites:
Tb 0.000 0.000 0.000 [4 per cell]
Pa 0.250 0.250 0.750 [4 per cell]
As 0.250 0.250 0.250 [4 per cell]

# 2
# PaTc2As2

PaTc2As2 after structural relaxation (PBE, the Open Quantum Materials Database).

Cell lengths 4.306, 4.306, 9.776 Å; angles 90.00, 90.00, 90.00 degrees
Space group I4/mmm (No. 139)
Unique sites:
Pa 0.000 0.000 0.000 [2 per cell]
Tc 0.000 0.500 0.250 [4 per cell]
As 0.000 0.000 0.370 [4 per cell]

# 3
# PaTlAs

PaTlAs after structural relaxation (PBE, the Open Quantum Materials Database).

Cell lengths 7.020, 7.020, 7.020 Å; angles 90.00, 90.00, 90.00 degrees
Space group F-43m (No. 216)
Unique sites:
Pa 0.000 0.000 0.000 [4 per cell]
Tl 0.250 0.250 0.250 [4 per cell]
As 0.250 0.250 0.750 [4 per cell]

# 4
# PaTlAs

PaTlAs after structural relaxation (PBE, the Open Quantum Materials Database).

Cell lengths 7.044, 7.044, 7.044 Å; angles 90.00, 90.00, 90.00 degrees
Space group F-43m (No. 216)
Unique sites:
Pa 0.000 0.000 0.000 [4 per cell]
Tl 0.250 0.250 0.750 [4 per cell]
As 0.000 0.000 0.500 [4 per cell]

# 5
# UPaAs

UPaAs after structural relaxation (PBE, the Open Quantum Materials Database).

Cell lengths 6.763, 6.763, 6.763 Å; angles 90.00, 90.00, 90.00 degrees
Space group F-43m (No. 216)
Unique sites:
U 0.000 0.000 0.000 [4 per cell]
Pa 0.000 0.000 0.500 [4 per cell]
As 0.250 0.250 0.750 [4 per cell]

# 6
# YPaAs

YPaAs after structural relaxation (PBE, the Open Quantum Materials Database).

Cell lengths 6.748, 6.748, 6.748 Å; angles 90.00, 90.00, 90.00 degrees
Space group F-43m (No. 216)
Unique sites:
Y 0.000 0.000 0.000 [4 per cell]
Pa 0.250 0.250 0.250 [4 per cell]
As 0.250 0.250 0.750 [4 per cell]

# 7
# As2Pd2Pb3

As2Pd2Pb3 after structural relaxation (PBE, the Open Quantum Materials Database).

Cell lengths 4.6095, 4.6095, 29.2299 Å; angles 90.00, 90.00, 120.00 degrees
Space group R3m (No. 160, hexagonal axes)
Unique sites:
As 0.0000 0.0000 0.0000 [3 per cell]
As 0.0000 0.0000 0.4839 [3 per cell]
Pd 0.0000 0.0000 0.1883 [3 per cell]
Pd 0.0000 0.0000 0.6623 [3 per cell]
Pb 0.0000 0.0000 0.0951 [3 per cell]
Pb 0.0000 0.0000 0.2872 [3 per cell]
Pb 0.0000 0.0000 0.8823 [3 per cell]

# 8
# PrAsPb

PrAsPb after structural relaxation (PBE, the Open Quantum Materials Database).

Cell lengths 7.285, 7.285, 7.285 Å; angles 90.00, 90.00, 90.00 degrees
Space group F-43m (No. 216)
Unique sites:
Pr 0.000 0.000 0.000 [4 per cell]
As 0.250 0.250 0.750 [4 per cell]
Pb 0.250 0.250 0.250 [4 per cell]

no.,final energy (eV per formula unit)
1,-17.38
2,-41.89
3,-16.19
4,-14.82
5,-25.09
6,-19.11
7,-31.03
8,-13.69